(1)
Zr2ZnH: optimized geometry, PBE.

Structure (CIF):
```
data_Zr2ZnH
_cell_length_a 3.154
_cell_length_b 3.154
_cell_length_c 7.636
_cell_angle_alpha 102.71
_cell_angle_beta 102.71
_cell_angle_gamma 61.59
_symmetry_space_group_name_H-M 'P 1'
_symmetry_Int_Tables_number 1
loop_
_symmetry_equiv_pos_as_xyz
'x,y,z'
loop_
_atom_site_label
_atom_site_fract_x
_atom_site_fract_y
_atom_site_fract_z
_atom_site_occupancy
Zr1 0.000 0.000 0.000 1
Zr2 0.234 0.234 0.631 1
Zn1 0.463 0.463 0.316 1
H1 0.620 0.620 0.810 1
```

Results
- ΔE to the lowest computed polymorph (eV/atom) = 0.1095

***

(2)
HgPdBr: optimized geometry, PBE.

Structure (CIF):
```
data_HgPdBr
_cell_length_a 3.361
_cell_length_b 3.613
_cell_length_c 6.425
_cell_angle_alpha 104.97
_cell_angle_beta 104.87
_cell_angle_gamma 90.04
_symmetry_space_group_name_H-M 'P 1'
_symmetry_Int_Tables_number 1
loop_
_symmetry_equiv_pos_as_xyz
'x,y,z'
loop_
_atom_site_label
_atom_site_fract_x
_atom_site_fract_y
_atom_site_fract_z
_atom_site_occupancy
Hg1 0.000 0.000 0.000 1
Pd1 0.613 0.603 0.229 1
Br1 0.277 0.769 0.564 1
```

Results
- energy relative to the elements, uncorrected (eV/atom) = -0.041
- ΔE to the lowest computed polymorph (eV/atom) = 0.1330

***

(3)
HfAlIn2: optimized geometry, PBE.

Structure (CIF):
```
data_HfAlIn2
_cell_length_a 6.302
_cell_length_b 6.302
_cell_length_c 6.302
_cell_angle_alpha 102.43
_cell_angle_beta 102.43
_cell_angle_gamma 124.73
_symmetry_space_group_name_H-M 'P 1'
_symmetry_Int_Tables_number 1
loop_
_symmetry_equiv_pos_as_xyz
'x,y,z'
loop_
_atom_site_label
_atom_site_fract_x
_atom_site_fract_y
_atom_site_fract_z
_atom_site_occupancy
Hf1 0.000 0.000 0.000 1
Hf2 0.750 0.250 0.500 1
Al1 0.250 0.750 0.500 1
Al2 0.500 0.500 0.000 1
In1 0.152 0.125 0.527 1
In2 0.375 0.848 0.973 1
In3 0.598 0.625 0.473 1
In4 0.875 0.402 0.027 1
```

Results
- formation enthalpy at 0 K (kJ/mol of atoms) = 20.67

***

(4)
Nd8TlIn5: optimized geometry, PBE.

Structure (CIF):
```
data_Nd8TlIn5
_cell_length_a 8.322
_cell_length_b 8.322
_cell_length_c 8.322
_cell_angle_alpha 109.52
_cell_angle_beta 109.52
_cell_angle_gamma 109.37
_symmetry_space_group_name_H-M 'P 1'
_symmetry_Int_Tables_number 1
loop_
_symmetry_equiv_pos_as_xyz
'x,y,z'
loop_
_atom_site_label
_atom_site_fract_x
_atom_site_fract_y
_atom_site_fract_z
_atom_site_occupancy
Nd1 0.126 0.225 0.750 1
Nd2 0.126 0.727 0.750 1
Nd3 0.273 0.024 0.400 1
Nd4 0.475 0.375 0.250 1
Nd5 0.624 0.874 0.600 1
Nd6 0.625 0.874 0.099 1
Nd7 0.775 0.525 0.901 1
Nd8 0.976 0.376 0.250 1
Tl1 0.750 0.250 0.500 1
In1 0.000 0.000 0.000 1
In2 0.250 0.625 0.124 1
In3 0.375 0.499 0.625 1
In4 0.501 0.126 0.876 1
In5 0.874 0.750 0.375 1
```

Results
- formation enthalpy at 0 K (kJ/mol of atoms) = -32.05

***

(5)
La3Dy2YHo6: optimized geometry, PBE.

Structure (CIF):
```
data_La3Dy2YHo6
_cell_length_a 6.221
_cell_length_b 6.221
_cell_length_c 11.843
_cell_angle_alpha 95.02
_cell_angle_beta 95.02
_cell_angle_gamma 120.01
_symmetry_space_group_name_H-M 'P 1'
_symmetry_Int_Tables_number 1
loop_
_symmetry_equiv_pos_as_xyz
'x,y,z'
loop_
_atom_site_label
_atom_site_fract_x
_atom_site_fract_y
_atom_site_fract_z
_atom_site_occupancy
La1 0.000 0.000 0.000 1
La2 0.333 0.667 0.000 1
La3 0.667 0.333 0.000 1
Dy1 0.167 0.833 0.500 1
Dy2 0.833 0.167 0.500 1
Y1 0.500 0.500 0.500 1
Ho1 0.085 0.419 0.255 1
Ho2 0.247 0.247 0.745 1
Ho3 0.419 0.085 0.255 1
Ho4 0.581 0.915 0.745 1
Ho5 0.753 0.753 0.255 1
Ho6 0.915 0.581 0.745 1
```

Results
- formation enthalpy at 0 K (kJ/mol of atoms) = 2.25

***

(6)
HoErMgAu: optimized geometry, PBE.

Structure (CIF):
```
data_HoErMgAu
_cell_length_a 5.159
_cell_length_b 5.159
_cell_length_c 5.159
_cell_angle_alpha 60.00
_cell_angle_beta 60.00
_cell_angle_gamma 60.00
_symmetry_space_group_name_H-M 'P 1'
_symmetry_Int_Tables_number 1
loop_
_symmetry_equiv_pos_as_xyz
'x,y,z'
loop_
_atom_site_label
_atom_site_fract_x
_atom_site_fract_y
_atom_site_fract_z
_atom_site_occupancy
Ho1 0.000 0.000 0.000 1
Er1 0.500 0.500 0.500 1
Mg1 0.250 0.250 0.250 1
Au1 0.750 0.750 0.750 1
```

Results
- formation enthalpy at 0 K (kJ/mol of atoms) = -40.12
- ΔE to the lowest computed polymorph (eV/atom) = 0.0573

***

(7)
Mn2PdSe: optimized geometry, PBE.

Structure (CIF):
```
data_Mn2PdSe
_cell_length_a 4.206
_cell_length_b 4.206
_cell_length_c 4.206
_cell_angle_alpha 60.00
_cell_angle_beta 60.00
_cell_angle_gamma 60.00
_symmetry_space_group_name_H-M 'P 1'
_symmetry_Int_Tables_number 1
loop_
_symmetry_equiv_pos_as_xyz
'x,y,z'
loop_
_atom_site_label
_atom_site_fract_x
_atom_site_fract_y
_atom_site_fract_z
_atom_site_occupancy
Mn1 0.250 0.250 0.250 1
Mn2 0.750 0.750 0.750 1
Pd1 0.000 0.000 0.000 1
Se1 0.500 0.500 0.500 1
```

Results
- energy relative to the elements, uncorrected (eV/atom) = 0.378
- ΔE to the lowest computed polymorph (eV/atom) = 0.0000

***

(8)
Sm4PuAs5: optimized geometry, PBE.

Structure (CIF):
```
data_Sm4PuAs5
_cell_length_a 15.125
_cell_length_b 15.125
_cell_length_c 15.125
_cell_angle_alpha 164.04
_cell_angle_beta 164.04
_cell_angle_gamma 22.65
_symmetry_space_group_name_H-M 'P 1'
_symmetry_Int_Tables_number 1
loop_
_symmetry_equiv_pos_as_xyz
'x,y,z'
loop_
_atom_site_label
_atom_site_fract_x
_atom_site_fract_y
_atom_site_fract_z
_atom_site_occupancy
Sm1 0.100 0.100 0.000 1
Sm2 0.300 0.300 0.000 1
Sm3 0.700 0.700 0.000 1
Sm4 0.900 0.900 0.000 1
Pu1 0.500 0.500 0.000 1
As1 0.000 0.000 0.000 1
As2 0.200 0.200 0.000 1
As3 0.401 0.401 0.000 1
As4 0.599 0.599 0.000 1
As5 0.800 0.800 0.000 1
```

Results
- formation enthalpy at 0 K (kJ/mol of atoms) = -136.92

***

(9)
RbZnBi4: optimized geometry, PBE.

Structure (CIF):
```
data_RbZnBi4
_cell_length_a 6.755
_cell_length_b 6.755
_cell_length_c 6.755
_cell_angle_alpha 60.00
_cell_angle_beta 60.00
_cell_angle_gamma 60.00
_symmetry_space_group_name_H-M 'P 1'
_symmetry_Int_Tables_number 1
loop_
_symmetry_equiv_pos_as_xyz
'x,y,z'
loop_
_atom_site_label
_atom_site_fract_x
_atom_site_fract_y
_atom_site_fract_z
_atom_site_occupancy
Rb1 0.000 0.000 0.000 1
Zn1 0.750 0.750 0.750 1
Bi1 0.380 0.380 0.380 1
Bi2 0.380 0.380 0.860 1
Bi3 0.380 0.860 0.380 1
Bi4 0.860 0.380 0.380 1
```

Results
- formation enthalpy at 0 K (kJ/mol of atoms) = 5.55

***

(10)
Be3Al: optimized geometry, PBE.

Structure (CIF):
```
data_Be3Al
_cell_length_a 4.099
_cell_length_b 4.099
_cell_length_c 2.748
_cell_angle_alpha 90.00
_cell_angle_beta 90.00
_cell_angle_gamma 111.06
_symmetry_space_group_name_H-M 'P 1'
_symmetry_Int_Tables_number 1
loop_
_symmetry_equiv_pos_as_xyz
'x,y,z'
loop_
_atom_site_label
_atom_site_fract_x
_atom_site_fract_y
_atom_site_fract_z
_atom_site_occupancy
Be1 0.000 0.000 0.000 1
Be2 0.000 0.500 0.500 1
Be3 0.500 0.000 0.500 1
Al1 0.500 0.500 0.000 1
```

Results
- formation enthalpy at 0 K (kJ/mol of atoms) = 28.53

***

(11)
PmICl3: optimized geometry, PBE.

Structure (CIF):
```
data_PmICl3
_cell_length_a 7.028
_cell_length_b 7.028
_cell_length_c 10.961
_cell_angle_alpha 99.80
_cell_angle_beta 99.80
_cell_angle_gamma 46.09
_symmetry_space_group_name_H-M 'P 1'
_symmetry_Int_Tables_number 1
loop_
_symmetry_equiv_pos_as_xyz
'x,y,z'
loop_
_atom_site_label
_atom_site_fract_x
_atom_site_fract_y
_atom_site_fract_z
_atom_site_occupancy
Pm1 0.124 0.124 0.397 1
Pm2 0.876 0.876 0.603 1
I1 0.426 0.426 0.073 1
I2 0.574 0.574 0.927 1
Cl1 0.084 0.084 0.645 1
Cl2 0.203 0.203 0.203 1
Cl3 0.336 0.336 0.549 1
Cl4 0.664 0.664 0.451 1
Cl5 0.797 0.797 0.797 1
Cl6 0.916 0.916 0.355 1
```

Results
- energy relative to the elements, uncorrected (eV/atom) = -1.686

***

(12)
Pr6Y2TmSc: optimized geometry, PBE.

Structure (CIF):
```
data_Pr6Y2TmSc
_cell_length_a 6.718
_cell_length_b 6.718
_cell_length_c 8.836
_cell_angle_alpha 103.60
_cell_angle_beta 103.60
_cell_angle_gamma 63.90
_symmetry_space_group_name_H-M 'P 1'
_symmetry_Int_Tables_number 1
loop_
_symmetry_equiv_pos_as_xyz
'x,y,z'
loop_
_atom_site_label
_atom_site_fract_x
_atom_site_fract_y
_atom_site_fract_z
_atom_site_occupancy
Pr1 0.098 0.562 0.210 1
Pr2 0.129 0.129 0.419 1
Pr3 0.438 0.902 0.790 1
Pr4 0.562 0.098 0.210 1
Pr5 0.871 0.871 0.581 1
Pr6 0.902 0.438 0.790 1
Y1 0.409 0.409 0.821 1
Y2 0.591 0.591 0.179 1
Tm1 0.000 0.000 0.000 1
Sc1 0.500 0.500 0.500 1
```

Results
- formation enthalpy at 0 K (kJ/mol of atoms) = 19.73

***

(13)
PuZr2U: optimized geometry, PBE.

Structure (CIF):
```
data_PuZr2U
_cell_length_a 3.052
_cell_length_b 3.052
_cell_length_c 10.008
_cell_angle_alpha 90.00
_cell_angle_beta 90.00
_cell_angle_gamma 90.00
_symmetry_space_group_name_H-M 'P 1'
_symmetry_Int_Tables_number 1
loop_
_symmetry_equiv_pos_as_xyz
'x,y,z'
loop_
_atom_site_label
_atom_site_fract_x
_atom_site_fract_y
_atom_site_fract_z
_atom_site_occupancy
Pu1 0.000 0.000 0.000 1
Zr1 0.500 0.500 0.253 1
Zr2 0.500 0.500 0.747 1
U1 0.000 0.000 0.500 1
```

Results
- formation enthalpy at 0 K (kJ/mol of atoms) = 22.39
- ΔE to the lowest computed polymorph (eV/atom) = 0.0000

***

Number 1: total moment 0.000 μB per atom, theoretical density 6.40 g/cm³. Number 2: total moment 0.000 μB per atom, theoretical density 8.84 g/cm³. Number 3: total moment 0.000 μB per atom, theoretical density 7.93 g/cm³. Number 4: total moment 0.000 μB per atom, theoretical density 7.23 g/cm³. Number 5: total moment 0.000 μB per atom, theoretical density 7.73 g/cm³. Number 6: total moment 0.000 μB per atom, theoretical density 9.46 g/cm³. Number 7: total moment 0.000 μB per atom, theoretical density 9.32 g/cm³. Number 8: total moment 0.492 μB per atom, theoretical density 7.74 g/cm³. Number 9: total moment 0.000 μB per atom, theoretical density 7.52 g/cm³. Number 10: total moment 0.000 μB per atom, theoretical density 2.08 g/cm³. Number 11: total moment 0.000 μB per atom, theoretical density 3.28 g/cm³. Number 12: total moment 0.000 μB per atom, theoretical density 5.97 g/cm³. Number 13: total moment 1.721 μB per atom, theoretical density 11.83 g/cm³.